Here is a geometry-optimized NdLuCdCo structure from Alexandria via LeMat-Bulk. Energies are from PBE.

It has space group F-43m (No. 216), with a = 7.170 Å, b = 7.170 Å, c = 7.170 Å, α = 90.00°, β = 90.00° and γ = 90.00°. The asymmetric unit holds Nd at (0.000, 0.000, 0.000), Lu at (0.000, 0.000, 0.500), Cd at (0.250, 0.250, 0.750) and Co at (0.250, 0.250, 0.250).

The calculation puts the volume at 369 Å³/cell. The value obtained for the size of the total moment is 1.62 μB per cell. The density of states at the Fermi level is 2.254 states/eV/f.u. As for the energy: -4.42 eV/atom. As for the formation enthalpy at 0 K: -0.097 eV/atom.